1.
# Sc2CdPd, optimized geometry, DFT PBE
# - DFT formation energy (kJ/mol of formula units) = -227
# - DOS(E_F) (states/eV/cell) = 4.04
data_Sc2CdPd
_chemical_formula_sum 'Sc2 Cd1 Pd1'
_cell_length_a 3.3676
_cell_length_b 3.3676
_cell_length_c 7.1089
_cell_angle_alpha 90.00
_cell_angle_beta 90.00
_cell_angle_gamma 90.00
_symmetry_space_group_name_H-M 'P 4/m m m'
_symmetry_Int_Tables_number 123
_symmetry_space_group_name_Hall '-P 4 2'
loop_
_atom_site_label
_atom_site_type_symbol
_atom_site_fract_x
_atom_site_fract_y
_atom_site_fract_z
Sc1 Sc 0.0000 0.0000 0.2242
Cd1 Cd 0.5000 0.5000 0.5000
Pd1 Pd 0.5000 0.5000 0.0000

***

2.
# PrGaTeO6, optimized geometry, DFT PBE
# - DOS(E_F) (states/eV/cell) = 0.00
# - total energy (eV/atom) = -6.520
data_PrGaTeO6
_chemical_formula_sum 'Pr2 Ga2 Te2 O12'
_cell_length_a 5.2100
_cell_length_b 5.2100
_cell_length_c 10.3814
_cell_angle_alpha 90.00
_cell_angle_beta 90.00
_cell_angle_gamma 120.00
_symmetry_space_group_name_H-M 'P -3 1 c'
_symmetry_Int_Tables_number 163
_symmetry_space_group_name_Hall '-P 3 2c'
loop_
_atom_site_label
_atom_site_type_symbol
_atom_site_fract_x
_atom_site_fract_y
_atom_site_fract_z
Pr1 Pr 0.0000 0.0000 0.0000
Ga1 Ga 0.3333 0.6667 0.2500
Te1 Te 0.3333 0.6667 0.7500
O1 O 0.0085 0.3748 0.6438

***

3.
# ZrAg2Au, optimized geometry, DFT PBE
# - distance to the lowest polymorph of the same formula (eV per formula unit) = 0.74
# - DFT formation energy (kJ/mol of formula units) = -2
# - DOS(E_F) (states/eV/cell) = 6.01
data_ZrAg2Au
_chemical_formula_sum 'Zr1 Ag2 Au1'
_cell_length_a 4.0613
_cell_length_b 4.0613
_cell_length_c 4.7164
_cell_angle_alpha 90.00
_cell_angle_beta 90.00
_cell_angle_gamma 90.00
_symmetry_space_group_name_H-M 'P 4/m m m'
_symmetry_Int_Tables_number 123
_symmetry_space_group_name_Hall '-P 4 2'
loop_
_atom_site_label
_atom_site_type_symbol
_atom_site_fract_x
_atom_site_fract_y
_atom_site_fract_z
Zr1 Zr 0.0000 0.0000 0.0000
Ag1 Ag 0.0000 0.5000 0.5000
Au1 Au 0.5000 0.5000 0.0000

***

4.
# VCuI2N, optimized geometry, DFT PBE
# - distance to the lowest polymorph of the same formula (eV per formula unit) = 4.60
# - DOS(E_F) (states/eV/cell) = 9.73
data_VCuI2N
_chemical_formula_sum 'V1 Cu1 I2 N1'
_cell_length_a 5.5383
_cell_length_b 5.5383
_cell_length_c 3.5487
_cell_angle_alpha 90.00
_cell_angle_beta 90.00
_cell_angle_gamma 90.00
_symmetry_space_group_name_H-M 'P 4/m m m'
_symmetry_Int_Tables_number 123
_symmetry_space_group_name_Hall '-P 4 2'
loop_
_atom_site_label
_atom_site_type_symbol
_atom_site_fract_x
_atom_site_fract_y
_atom_site_fract_z
V1 V 0.0000 0.0000 0.0000
Cu1 Cu 0.5000 0.5000 0.5000
I1 I 0.0000 0.5000 0.5000
N1 N 0.5000 0.5000 0.0000